[1]
An optimized crystal structure of CoPd2Se. Source: Alexandria via LeMat-Bulk, functional PBE.

Results
Total magnetization = 3.76 μB/cell
Energy = -0.372 Ry/atom
Formation energy without anion corrections = 0.189 eV/atom

Cell lengths 9.4613, 9.4613, 9.4613 Å; angles 157.10, 157.10, 32.60 degrees
Last column: nearest neighbours and their distance in Å.
Positions (direct):
Co 0.0000 0.0000 0.0000  4 Pd 2.63, 4 Se 2.66
Co 0.7500 0.2500 0.5000  4 Pd 2.63, 4 Se 2.66
Pd 0.1236 0.6250 0.9986  2 Co 2.63, 2 Se 2.63, 4 Pd 2.65-2.66
Pd 0.3750 0.3736 0.4986  2 Co 2.63, 2 Se 2.63, 4 Pd 2.65-2.66
Pd 0.6264 0.1250 0.0014  2 Co 2.63, 2 Se 2.63, 4 Pd 2.65-2.66
Pd 0.8750 0.8764 0.5014  2 Co 2.63, 2 Se 2.63, 4 Pd 2.65-2.66
Se 0.2500 0.7500 0.5000  4 Pd 2.63, 4 Co 2.66
Se 0.5000 0.5000 0.0000  4 Pd 2.63, 4 Co 2.66

=====

[2]
An optimized crystal structure of BaPdF2. Source: Alexandria via LeMat-Bulk, functional PBE.

Results
Total magnetization = 0.00 μB/cell
Energy = -0.349 Ry/atom
Formation energy without anion corrections = -2.030 eV/atom

Cell lengths 8.4115, 8.4115, 8.4115 Å; angles 148.14, 148.14, 45.68 degrees
Last column: nearest neighbours and their distance in Å.
Positions (direct):
Ba 0.0000 0.0000 0.0000  4 F 2.60
Ba 0.7500 0.2500 0.5000  4 F 2.60
Pd 0.2500 0.7500 0.5000  4 F 2.47
Pd 0.5000 0.5000 0.0000  4 F 2.47
F 0.1568 0.6250 0.0318  2 Pd 2.47, 2 Ba 2.60
F 0.3750 0.4068 0.5318  2 Pd 2.47, 2 Ba 2.60
F 0.5932 0.1250 0.9682  2 Pd 2.47, 2 Ba 2.60
F 0.8750 0.8432 0.4682  2 Pd 2.47, 2 Ba 2.60

=====

[3]
An optimized crystal structure of Dy4YIn. Source: Alexandria via LeMat-Bulk, functional PBE.

Results
Calculated formation energy = -0.121 eV per atom
Total magnetization = 0.00 μB/cell
Energy = -0.347 Ry/atom

Cell lengths 6.0496, 6.0496, 11.7915 Å; angles 105.28, 105.28, 60.00 degrees
Last column: nearest neighbours and their distance in Å.
Positions (direct):
Dy 0.1595 0.6817 0.5012  7 Dy 3.34-3.57, 2 In 3.42-3.44, 3 Y 3.45-3.57
Dy 0.2507 0.4152 0.7501  7 Dy 3.44-3.50, 2 Y 3.45-3.47, 3 In 3.47-3.52
Dy 0.3183 0.8405 0.9988  7 Dy 3.34-3.57, 2 In 3.42-3.44, 3 Y 3.45-3.57
Dy 0.4152 0.2507 0.2501  7 Dy 3.44-3.50, 2 Y 3.45-3.47, 3 In 3.47-3.52
Dy 0.5848 0.7493 0.7499  7 Dy 3.44-3.50, 2 Y 3.45-3.47, 3 In 3.47-3.52
Dy 0.6817 0.1595 0.0012  7 Dy 3.34-3.57, 2 In 3.42-3.44, 3 Y 3.45-3.57
Dy 0.7493 0.5848 0.2499  7 Dy 3.44-3.50, 2 Y 3.45-3.47, 3 In 3.47-3.52
Dy 0.8405 0.3183 0.4988  7 Dy 3.34-3.57, 2 In 3.42-3.44, 3 Y 3.45-3.57
Y 0.0000 0.5000 0.0000  2 In 3.44, 10 Dy 3.45-3.57
Y 0.5000 0.0000 0.5000  2 In 3.44, 10 Dy 3.45-3.57
In 0.0869 0.9131 0.2500  10 Dy 3.42-3.52, 2 Y 3.44
In 0.9131 0.0869 0.7500  10 Dy 3.42-3.52, 2 Y 3.44

=====

[4]
An optimized crystal structure of LuAgRh4. Source: Alexandria via LeMat-Bulk, functional PBE.

Results
Calculated formation energy = -0.325 eV per atom
Total magnetization = 0.26 μB/cell
Energy = -0.474 Ry/atom

Cell lengths 5.2230, 5.2230, 5.2230 Å; angles 60.00, 60.00, 60.00 degrees
Last column: nearest neighbours and their distance in Å.
Positions (direct):
Lu 0.0000 0.0000 0.0000  12 Rh 3.06, 4 Ag 3.20
Ag 0.7500 0.7500 0.7500  12 Rh 3.06, 4 Lu 3.20
Rh 0.3752 0.3752 0.3752  6 Rh 2.61-2.62
Rh 0.3752 0.3752 0.8744  6 Rh 2.61-2.62
Rh 0.3752 0.8744 0.3752  6 Rh 2.61-2.62
Rh 0.8744 0.3752 0.3752  6 Rh 2.61-2.62

=====

[5]
An optimized crystal structure of TbY5Tm2Th. Source: Alexandria via LeMat-Bulk, functional PBE.

Results
Calculated formation energy = 0.160 eV per atom
Total magnetization = 0.00 μB/cell
Energy = -0.424 Ry/atom

Cell lengths 11.0170, 11.0170, 9.7102 Å; angles 90.00, 90.00, 149.90 degrees
Last column: nearest neighbours and their distance in Å.
Positions (direct):
Tb 0.0969 0.9031 0.5000  2 Y 3.03-3.19
Tb 0.9031 0.0969 0.0000  2 Y 3.03-3.19
Y 0.0279 0.9721 0.8177  2 Tb 3.19-3.42, 2 Y 3.36-3.55, 2 Tm 3.46
Y 0.1105 0.8895 0.1128  4 Tm 3.34-3.55, 3 Y 3.36-3.67
Y 0.1958 0.8042 0.7841  2 Th 3.39, 5 Y 3.45-3.74, 1 Tb 3.47, 3 Tm 3.54-3.73
Y 0.2333 0.7667 0.4083  1 Tb 3.03, 1 Tm 3.29
Y 0.4860 0.5140 0.0871  3 Tm 3.27-3.66, 2 Tb 3.47, 2 Y 3.64
Y 0.5140 0.4860 0.5871  3 Tm 3.27-3.66, 2 Tb 3.47, 2 Y 3.64
Y 0.7667 0.2333 0.9083  1 Tb 3.03, 1 Tm 3.29
Y 0.8042 0.1958 0.2841  2 Th 3.39, 5 Y 3.45-3.74, 1 Tb 3.47, 3 Tm 3.54-3.73
Y 0.8895 0.1105 0.6128  4 Tm 3.34-3.55, 3 Y 3.36-3.67
Y 0.9721 0.0279 0.3177  2 Tb 3.19-3.42, 2 Y 3.36-3.55, 2 Tm 3.46
Tm 0.3711 0.6289 0.7850  1 Th 3.28, 3 Y 3.34-3.60, 2 Tb 3.61
Tm 0.3876 0.6124 0.3960  9 Y 3.27-3.66, 1 Th 3.32
Tm 0.6124 0.3876 0.8960  9 Y 3.27-3.66, 1 Th 3.32
Tm 0.6289 0.3711 0.2850  1 Th 3.28, 3 Y 3.34-3.60, 2 Tb 3.61
Th 0.3119 0.6881 0.0965  2 Tm 3.28-3.32, 5 Y 3.39-3.53, 2 Tb 3.58
Th 0.6881 0.3119 0.5965  2 Tm 3.28-3.32, 5 Y 3.39-3.53, 2 Tb 3.58

=====

[6]
An optimized crystal structure of AgHg2Br2. Source: Alexandria via LeMat-Bulk, functional PBE.

Results
Total magnetization = 0.00 μB/cell
Energy = -0.098 Ry/atom
Formation energy without anion corrections = 0.028 eV/atom

Cell lengths 7.6499, 7.6499, 4.7738 Å; angles 90.00, 90.00, 90.00 degrees
Last column: nearest neighbours and their distance in Å.
Positions (direct):
Ag 0.0000 0.0000 0.0000  4 Hg 3.01
Ag 0.5000 0.5000 0.0000  4 Hg 3.01
Hg 0.1282 0.3718 0.0000  1 Hg 2.77, 2 Br 2.91, 2 Ag 3.01
Hg 0.3718 0.8718 0.0000  1 Hg 2.77, 2 Br 2.91, 2 Ag 3.01
Hg 0.6282 0.1282 0.0000  1 Hg 2.77, 2 Br 2.91, 2 Ag 3.01
Hg 0.8718 0.6282 0.0000  1 Hg 2.77, 2 Br 2.91, 2 Ag 3.01
Br 0.2179 0.7179 0.5000  2 Hg 2.91
Br 0.2821 0.2179 0.5000  2 Hg 2.91
Br 0.7179 0.7821 0.5000  2 Hg 2.91
Br 0.7821 0.2821 0.5000  2 Hg 2.91

=====

[7]
An optimized crystal structure of LaCe2Hf. Source: Alexandria via LeMat-Bulk, functional PBE.

Results
Calculated formation energy = 0.199 eV per atom
Total magnetization = 0.00 μB/cell
Energy = -0.477 Ry/atom

Cell lengths 11.9337, 11.9337, 11.9337 Å; angles 15.76, 15.76, 15.76 degrees
Last column: nearest neighbours and their distance in Å.
Positions (direct):
La 0.0000 0.0000 0.0000  2 Ce 3.18, 6 La 3.27
Ce 0.0899 0.0899 0.0899  1 La 3.18, 6 Ce 3.27, 3 Hf 3.31
Ce 0.9101 0.9101 0.9101  1 La 3.18, 6 Ce 3.27, 3 Hf 3.31
Hf 0.5000 0.5000 0.5000  6 Hf 3.27, 6 Ce 3.31

=====

[8]
An optimized crystal structure of BaTc3Cl. Source: Alexandria via LeMat-Bulk, functional PBE.

Results
Total magnetization = 1.88 μB/cell
Energy = -0.422 Ry/atom
Formation energy without anion corrections = 1.227 eV/atom

Cell lengths 4.6237, 4.6237, 4.6237 Å; angles 90.00, 90.00, 90.00 degrees
Last column: nearest neighbours and their distance in Å.
Positions (direct):
Ba 0.0000 0.0000 0.0000  12 Tc 3.27
Tc 0.0000 0.5000 0.5000  2 Cl 2.31
Tc 0.5000 0.0000 0.5000  2 Cl 2.31
Tc 0.5000 0.5000 0.0000  2 Cl 2.31
Cl 0.5000 0.5000 0.5000  6 Tc 2.31

=====

[9]
An optimized crystal structure of K2AgH2. Source: Alexandria via LeMat-Bulk, functional PBE.

Results
Total magnetization = 0.00 μB/cell
Energy = -0.155 Ry/atom

Cell lengths 8.1999, 8.1999, 3.1100 Å; angles 90.00, 90.00, 90.00 degrees
Last column: nearest neighbours and their distance in Å.
Positions (direct):
K 0.1454 0.3546 0.0000  6 H 2.86, 2 K 3.11, 2 Ag 3.14
K 0.3546 0.8546 0.0000  6 H 2.86, 2 K 3.11, 2 Ag 3.14
K 0.6454 0.1454 0.0000  6 H 2.86, 2 K 3.11, 2 Ag 3.14
K 0.8546 0.6454 0.0000  6 H 2.86, 2 K 3.11, 2 Ag 3.14
Ag 0.0000 0.0000 0.0000  2 Ag 3.11, 4 K 3.14
Ag 0.5000 0.5000 0.0000  2 Ag 3.11, 4 K 3.14
H 0.1475 0.6475 0.5000  6 K 2.86, 2 H 3.11
H 0.3525 0.1475 0.5000  6 K 2.86, 2 H 3.11
H 0.6475 0.8525 0.5000  6 K 2.86, 2 H 3.11
H 0.8525 0.3525 0.5000  6 K 2.86, 2 H 3.11

=====

[10]
An optimized crystal structure of RbPO4. Source: Alexandria via LeMat-Bulk, functional PBE.

Results
Total magnetization = 4.00 μB/cell
Energy = -0.437 Ry/atom
Formation energy without anion corrections = -1.577 eV/atom

Cell lengths 6.8321, 6.8321, 6.8321 Å; angles 108.61, 108.61, 111.22 degrees
Last column: nearest neighbours and their distance in Å.
Positions (direct):
Rb 0.0000 0.0000 0.0000  8 O 2.96-3.10
Rb 0.7500 0.2500 0.5000  8 O 2.96-3.10
P 0.2500 0.7500 0.5000  4 O 1.54
P 0.5000 0.5000 0.0000  4 O 1.54
O 0.1191 0.7691 0.6458  1 P 1.54
O 0.1233 0.4733 0.3542  1 P 1.54
O 0.2233 0.3733 0.8542  1 P 1.54
O 0.2309 0.8767 0.3500  1 P 1.54
O 0.5191 0.3691 0.1458  1 P 1.54
O 0.5267 0.8809 0.6500  1 P 1.54
O 0.6267 0.4809 0.8500  1 P 1.54
O 0.6309 0.7767 0.1500  1 P 1.54

=====

[11]
An optimized crystal structure of CrCoP2. Source: Alexandria via LeMat-Bulk, functional PBE.

Results
Calculated formation energy = -0.299 eV per atom
Total magnetization = 0.21 μB/cell
Energy = -0.528 Ry/atom

Cell lengths 2.7438, 4.3246, 3.8747 Å; angles 90.00, 90.00, 90.00 degrees
Last column: nearest neighbours and their distance in Å.
Positions (direct):
Cr 0.0000 0.0000 0.0000  6 P 2.33-2.42
Co 0.5000 0.5000 0.2590  6 P 2.34-2.38
P 0.0000 0.5000 0.7625  2 Cr 2.35, 4 Co 2.36-2.38
P 0.5000 0.0000 0.4869  4 Cr 2.33-2.42, 2 Co 2.34

=====

[12]
An optimized crystal structure of Sc2PtRh. Source: Alexandria via LeMat-Bulk, functional PBE.

Results
Calculated formation energy = -0.067 eV per atom
Total magnetization = 0.00 μB/cell
Energy = -0.484 Ry/atom

Cell lengths 5.8212, 5.8212, 5.8212 Å; angles 151.03, 128.70, 60.00 degrees
Last column: nearest neighbours and their distance in Å.
Positions (direct):
Sc 0.2440 0.2440 0.0000  1 Rh 2.46, 1 Pt 2.58
Sc 0.7560 0.7560 0.0000  1 Rh 2.46, 1 Pt 2.58
Pt 0.5000 0.5000 0.0000  2 Sc 2.58
Rh 0.0000 0.0000 0.0000  2 Sc 2.46